# RbNaLiP (PBE, optimized geometry)
data_RbNaLiP
_cell_length_a 4.6396
_cell_length_b 4.6396
_cell_length_c 18.6617
_cell_angle_alpha 90.00
_cell_angle_beta 90.00
_cell_angle_gamma 120.00
_space_group_name_H-M_alt 'R 3 m'
_space_group_IT_number 160
_space_group_name_Hall 'R 3 -2"'
loop_
_atom_site_label
_atom_site_type_symbol
_atom_site_fract_x
_atom_site_fract_y
_atom_site_fract_z
_atom_site_occupancy
Rb1 Rb 0.0000 0.0000 0.0000 1
Na1 Na 0.0000 0.0000 0.1810 1
Li1 Li 0.0000 0.0000 0.4617 1
P1 P 0.0000 0.0000 0.7960 1
# Electronic total energy in eV/atom: -2.757
# Calculated volume in Å³/cell: 347.9
# Formation energy from the elements in meV/atom: -354.8